[1]
First-principles (PBE) data for a relaxed structure of NaNpF2, as listed in the Alexandria database.

Geometry as CIF:
```
data_NaNpF2
_chemical_formula_sum 'Na1 Np1 F2'
_symmetry_space_group_name_H-M 'P 1'
_symmetry_Int_Tables_number 1
_symmetry_space_group_name_Hall 'P 1'
_cell_length_a 8.232
_cell_length_b 8.232
_cell_length_c 8.232
_cell_angle_alpha 22.17
_cell_angle_beta 22.17
_cell_angle_gamma 22.17
loop_
_atom_site_label
_atom_site_type_symbol
_atom_site_fract_x
_atom_site_fract_y
_atom_site_fract_z
Na1 Na 0.000 0.000 0.000
Np1 Np 0.500 0.500 0.500
F1 F 0.093 0.093 0.093
F2 F 0.907 0.907 0.907
```

Computed properties:
Raw formation energy, eV/atom: -1.934
Space-group type: No. 166
Final energy, eV per atom: -6.434

[2]
First-principles (PBE) data for a relaxed structure of NaNp2F9, as listed in the Alexandria database.

Geometry as CIF:
```
data_NaNp2F9
_chemical_formula_sum 'Na4 Np8 F36'
_symmetry_space_group_name_H-M 'P 1'
_symmetry_Int_Tables_number 1
_symmetry_space_group_name_Hall 'P 1'
_cell_length_a 8.696
_cell_length_b 11.242
_cell_length_c 6.937
_cell_angle_alpha 90.00
_cell_angle_beta 90.00
_cell_angle_gamma 90.00
loop_
_atom_site_label
_atom_site_type_symbol
_atom_site_fract_x
_atom_site_fract_y
_atom_site_fract_z
Na1 Na 0.108 0.250 0.206
Na2 Na 0.392 0.750 0.706
Na3 Na 0.608 0.250 0.294
Na4 Na 0.892 0.750 0.794
Np1 Np 0.168 0.049 0.667
Np2 Np 0.168 0.451 0.667
Np3 Np 0.332 0.549 0.167
Np4 Np 0.332 0.951 0.167
Np5 Np 0.668 0.049 0.833
Np6 Np 0.668 0.451 0.833
Np7 Np 0.832 0.549 0.333
Np8 Np 0.832 0.951 0.333
F1 F 0.004 0.604 0.578
F2 F 0.004 0.896 0.578
F3 F 0.073 0.579 0.204
F4 F 0.073 0.921 0.204
F5 F 0.167 0.250 0.662
F6 F 0.199 0.102 0.985
F7 F 0.199 0.398 0.985
F8 F 0.214 0.610 0.861
F9 F 0.214 0.890 0.861
F10 F 0.286 0.110 0.361
F11 F 0.286 0.390 0.361
F12 F 0.301 0.602 0.485
F13 F 0.301 0.898 0.485
F14 F 0.333 0.750 0.162
F15 F 0.427 0.079 0.704
F16 F 0.427 0.421 0.704
F17 F 0.496 0.104 0.078
F18 F 0.496 0.396 0.078
F19 F 0.504 0.604 0.922
F20 F 0.504 0.896 0.922
F21 F 0.573 0.579 0.296
F22 F 0.573 0.921 0.296
F23 F 0.667 0.250 0.838
F24 F 0.699 0.102 0.515
F25 F 0.699 0.398 0.515
F26 F 0.714 0.610 0.639
F27 F 0.714 0.890 0.639
F28 F 0.786 0.110 0.139
F29 F 0.786 0.390 0.139
F30 F 0.801 0.602 0.015
F31 F 0.801 0.898 0.015
F32 F 0.833 0.750 0.338
F33 F 0.927 0.079 0.796
F34 F 0.927 0.421 0.796
F35 F 0.996 0.104 0.422
F36 F 0.996 0.396 0.422
```

Computed properties:
Raw formation energy, eV/atom: -3.363
Space-group type: No. 62
Final energy, eV per atom: -7.034

[3]
First-principles (PBE) data for a relaxed structure of Na5Np2F12, as listed in the Alexandria database.

Geometry as CIF:
```
data_Na5Np2F12
_chemical_formula_sum 'Na5 Np2 F12'
_symmetry_space_group_name_H-M 'P 1'
_symmetry_Int_Tables_number 1
_symmetry_space_group_name_Hall 'P 1'
_cell_length_a 7.324
_cell_length_b 7.324
_cell_length_c 7.351
_cell_angle_alpha 118.72
_cell_angle_beta 118.72
_cell_angle_gamma 67.55
loop_
_atom_site_label
_atom_site_type_symbol
_atom_site_fract_x
_atom_site_fract_y
_atom_site_fract_z
Na1 Na 0.000 0.000 0.000
Na2 Na 0.281 0.281 0.560
Na3 Na 0.356 0.356 0.017
Na4 Na 0.644 0.644 0.983
Na5 Na 0.719 0.719 0.440
Np1 Np 0.245 0.755 0.500
Np2 Np 0.755 0.245 0.500
F1 F 0.028 0.028 0.337
F2 F 0.041 0.397 0.735
F3 F 0.290 0.647 0.761
F4 F 0.353 0.710 0.239
F5 F 0.366 0.366 0.347
F6 F 0.397 0.041 0.735
F7 F 0.603 0.959 0.265
F8 F 0.634 0.634 0.653
F9 F 0.647 0.290 0.761
F10 F 0.710 0.353 0.239
F11 F 0.959 0.603 0.265
F12 F 0.972 0.972 0.663
```

Computed properties:
Raw formation energy, eV/atom: -3.057
Space-group type: No. 12
Final energy, eV per atom: -5.948

[4]
First-principles (PBE) data for a relaxed structure of NaNpF5, as listed in the Alexandria database.

Geometry as CIF:
```
data_NaNpF5
_chemical_formula_sum 'Na2 Np2 F10'
_symmetry_space_group_name_H-M 'P 1'
_symmetry_Int_Tables_number 1
_symmetry_space_group_name_Hall 'P 1'
_cell_length_a 5.961
_cell_length_b 5.961
_cell_length_c 8.731
_cell_angle_alpha 111.78
_cell_angle_beta 111.78
_cell_angle_gamma 71.13
loop_
_atom_site_label
_atom_site_type_symbol
_atom_site_fract_x
_atom_site_fract_y
_atom_site_fract_z
Na1 Na 0.021 0.979 0.750
Na2 Na 0.979 0.021 0.250
Np1 Np 0.500 0.500 0.000
Np2 Np 0.500 0.500 0.500
F1 F 0.172 0.758 0.045
F2 F 0.209 0.308 0.365
F3 F 0.242 0.828 0.455
F4 F 0.308 0.209 0.865
F5 F 0.394 0.606 0.750
F6 F 0.606 0.394 0.250
F7 F 0.692 0.791 0.135
F8 F 0.758 0.172 0.545
F9 F 0.791 0.692 0.635
F10 F 0.828 0.242 0.955
```

Computed properties:
Raw formation energy, eV/atom: -3.286
Space-group type: No. 15
Final energy, eV per atom: -6.659

[5]
First-principles (PBE) data for a relaxed structure of NaNp2F8, as listed in the Alexandria database.

Geometry as CIF:
```
data_NaNp2F8
_chemical_formula_sum 'Na1 Np2 F8'
_symmetry_space_group_name_H-M 'P 1'
_symmetry_Int_Tables_number 1
_symmetry_space_group_name_Hall 'P 1'
_cell_length_a 6.724
_cell_length_b 6.724
_cell_length_c 4.129
_cell_angle_alpha 106.29
_cell_angle_beta 106.29
_cell_angle_gamma 66.65
loop_
_atom_site_label
_atom_site_type_symbol
_atom_site_fract_x
_atom_site_fract_y
_atom_site_fract_z
Na1 Na 0.000 0.000 0.000
Np1 Np 0.322 0.322 0.581
Np2 Np 0.678 0.678 0.419
F1 F 0.067 0.667 0.608
F2 F 0.212 0.212 0.975
F3 F 0.333 0.933 0.392
F4 F 0.441 0.441 0.194
F5 F 0.559 0.559 0.806
F6 F 0.667 0.067 0.608
F7 F 0.788 0.788 0.025
F8 F 0.933 0.333 0.392
```

Computed properties:
Raw formation energy, eV/atom: -3.372
Space-group type: No. 12
Energy above the most stable polymorph in this dataset, meV per atom: 0.0
Final energy, eV per atom: -7.206

[6]
First-principles (PBE) data for a relaxed structure of NaNp2F11, as listed in the Alexandria database.

Geometry as CIF:
```
data_NaNp2F11
_chemical_formula_sum 'Na2 Np4 F22'
_symmetry_space_group_name_H-M 'P 1'
_symmetry_Int_Tables_number 1
_symmetry_space_group_name_Hall 'P 1'
_cell_length_a 8.694
_cell_length_b 8.694
_cell_length_c 8.694
_cell_angle_alpha 119.71
_cell_angle_beta 107.81
_cell_angle_gamma 101.45
loop_
_atom_site_label
_atom_site_type_symbol
_atom_site_fract_x
_atom_site_fract_y
_atom_site_fract_z
Na1 Na 0.250 0.250 0.000
Na2 Na 0.750 0.750 0.000
Np1 Np 0.179 0.654 0.833
Np2 Np 0.321 0.154 0.475
Np3 Np 0.679 0.846 0.525
Np4 Np 0.821 0.346 0.167
F1 F 0.000 0.500 0.500
F2 F 0.059 0.951 0.281
F3 F 0.061 0.370 0.169
F4 F 0.170 0.451 0.892
F5 F 0.201 0.892 0.831
F6 F 0.212 0.359 0.571
F7 F 0.288 0.859 0.146
F8 F 0.299 0.130 0.691
F9 F 0.330 0.221 0.281
F10 F 0.439 0.608 0.309
F11 F 0.441 0.721 0.892
F12 F 0.500 0.000 0.500
F13 F 0.559 0.279 0.108
F14 F 0.561 0.392 0.691
F15 F 0.670 0.779 0.719
F16 F 0.701 0.870 0.309
F17 F 0.712 0.141 0.854
F18 F 0.788 0.641 0.429
F19 F 0.799 0.108 0.169
F20 F 0.830 0.549 0.108
F21 F 0.939 0.630 0.831
F22 F 0.941 0.049 0.719
```

Computed properties:
Raw formation energy, eV/atom: -3.223
Space-group type: No. 72
Final energy, eV per atom: -6.636